Compound: Na3CdIn4
Source: Alexandria
Functional: PBE
Structure: optimized geometry

Its total moment is 0.0 μB/cell. As for the formation energy: -26.9 meV/atom.

The structure belongs to space group Imm2 (No. 44); the cell edges are 6.423, 10.697 and 6.426 Å and the angles 90.00°, 90.00° and 90.00°. The asymmetric unit holds Na at (0.000, 0.000, 0.000), Na at (0.000, 0.244, 0.718), Cd at (0.000, 0.500, 0.519), In at (0.000, 0.288, 0.219) and In at (0.244, 0.000, 0.459).